# AlTlCoS2 (PBE, relaxed)
# - raw formation energy (eV/atom) = 1.1100
# - raw total energy (eV/atom) = -3.18
# - D(E_F) (states/eV/f.u.) = 8.168
data_AlTlCoS2
_chemical_formula_sum 'Al1 Tl1 Co1 S2'
_cell_length_a 5.2297
_cell_length_b 5.2297
_cell_length_c 4.9393
_cell_angle_alpha 90.00
_cell_angle_beta 90.00
_cell_angle_gamma 90.00
_space_group_name_H-M_alt 'P 4/m m m'
_space_group_IT_number 123
_space_group_name_Hall '-P 4 2'
loop_
_atom_site_label
_atom_site_type_symbol
_atom_site_fract_x
_atom_site_fract_y
_atom_site_fract_z
_atom_site_occupancy
Al1 Al 0.0000 0.0000 0.0000 1
Tl1 Tl 0.5000 0.5000 0.5000 1
Co1 Co 0.5000 0.5000 0.0000 1
S1 S 0.0000 0.5000 0.5000 1

---

# TiTePdN2 (PBE, relaxed)
# - raw formation energy (eV/atom) = 0.3985
# - raw total energy (eV/atom) = -6.18
# - D(E_F) (states/eV/f.u.) = 4.694
data_TiTePdN2
_chemical_formula_sum 'Ti1 Te1 Pd1 N2'
_cell_length_a 3.8707
_cell_length_b 3.8707
_cell_length_c 5.9579
_cell_angle_alpha 90.00
_cell_angle_beta 90.00
_cell_angle_gamma 90.00
_space_group_name_H-M_alt 'P 4/m m m'
_space_group_IT_number 123
_space_group_name_Hall '-P 4 2'
loop_
_atom_site_label
_atom_site_type_symbol
_atom_site_fract_x
_atom_site_fract_y
_atom_site_fract_z
_atom_site_occupancy
Ti1 Ti 0.0000 0.0000 0.0000 1
Te1 Te 0.0000 0.0000 0.5000 1
Pd1 Pd 0.5000 0.5000 0.5000 1
N1 N 0.0000 0.5000 0.0000 1

---

Copy entry 1 word for word.
# AlTlCoS2 (PBE, relaxed)
# - raw formation energy (eV/atom) = 1.1100
# - raw total energy (eV/atom) = -3.18
# - D(E_F) (states/eV/f.u.) = 8.168
data_AlTlCoS2
_chemical_formula_sum 'Al1 Tl1 Co1 S2'
_cell_length_a 5.2297
_cell_length_b 5.2297
_cell_length_c 4.9393
_cell_angle_alpha 90.00
_cell_angle_beta 90.00
_cell_angle_gamma 90.00
_space_group_name_H-M_alt 'P 4/m m m'
_space_group_IT_number 123
_space_group_name_Hall '-P 4 2'
loop_
_atom_site_label
_atom_site_type_symbol
_atom_site_fract_x
_atom_site_fract_y
_atom_site_fract_z
_atom_site_occupancy
Al1 Al 0.0000 0.0000 0.0000 1
Tl1 Tl 0.5000 0.5000 0.5000 1
Co1 Co 0.5000 0.5000 0.0000 1
S1 S 0.0000 0.5000 0.5000 1

---

Q: Number 1 is which compound?
A: AlTlCoS2